# Pm4NdBi5, optimized geometry, DFT GGA-PBE
data_Pm4NdBi5
_cell_length_a 4.588
_cell_length_b 6.478
_cell_length_c 12.125
_cell_angle_alpha 105.50
_cell_angle_beta 100.91
_cell_angle_gamma 90.00
_symmetry_space_group_name_H-M 'P 1'
_symmetry_Int_Tables_number 1
_symmetry_space_group_name_Hall 'P 1'
loop_
_atom_site_label
_atom_site_fract_x
_atom_site_fract_y
_atom_site_fract_z
Nd1 0.000 0.000 0.000
Pm1 0.600 0.600 0.200
Pm2 0.200 0.200 0.401
Pm3 0.400 0.400 0.800
Pm4 0.800 0.800 0.599
Bi1 0.601 0.101 0.201
Bi2 0.399 0.899 0.799
Bi3 0.200 0.700 0.400
Bi4 0.800 0.300 0.600
Bi5 0.000 0.500 0.000
# crystal system = orthorhombic
# total moment = 0.0 μB per formula unit
# ΔH_f (0 K) = -0.94 eV/atom